1.
This record from Alexandria via LeMat-Bulk describes a relaxed ZrTeAsSe2 crystal. The functional is PBE.

a b c (Å): 5.193 5.193 5.249
angles (deg): 90.00 90.00 90.00
Fractional positions:
As1 0.000 0.000 0.500
Te1 0.000 0.000 0.000
Se1 0.000 0.500 0.000
Se2 0.500 0.000 0.000
Zr1 0.500 0.500 0.500

Output
For the formation energy from raw total energies, the calculation gives 0.686 eV/atom. The volume is 142 Å³ per cell. The value obtained for the raw total energy is -19.9 eV per cell. For the energy relative to the lowest polymorph listed for this composition, the calculation gives 724 meV/atom.

---

2.
This record from Alexandria via LeMat-Bulk describes a relaxed TiReTc crystal. The functional is PBE.

a b c (Å): 2.681 4.588 8.819
angles (deg): 82.13 117.79 107.11
Fractional positions:
Ti1 0.569 0.139 0.000
Ti2 0.320 0.640 0.500
Re1 0.320 0.640 0.835
Re2 0.322 0.641 0.165
Tc1 0.569 0.137 0.336
Tc2 0.566 0.137 0.664

Output
The volume is 92 Å³ per cell. The value obtained for the raw total energy is -61.6 eV per cell. The energy of formation is -0.09 eV per formula unit. For the energy relative to the lowest polymorph listed for this composition, the calculation gives 242 meV/atom.

---

3.
This record from Alexandria via LeMat-Bulk describes a relaxed CsHgBiCl6 crystal. The functional is PBE.

a b c (Å): 7.165 7.164 7.696
angles (deg): 90.00 90.00 60.00
Fractional positions:
Cs1 0.000 0.000 0.000
Hg1 0.333 0.333 0.500
Bi1 0.667 0.667 0.500
Cl1 0.001 0.379 0.296
Cl2 0.379 0.001 0.704
Cl3 0.620 0.379 0.704
Cl4 0.001 0.620 0.704
Cl5 0.379 0.620 0.296
Cl6 0.620 0.001 0.296

Output
For the formation energy from raw total energies, the calculation gives -1.115 eV/atom. The volume is 342 Å³ per cell. The value obtained for the raw total energy is -26.1 eV per cell.

---

4.
This record from Alexandria via LeMat-Bulk describes a relaxed KIn2RhPb crystal. The functional is PBE.

a b c (Å): 5.243 5.243 5.410
angles (deg): 90.00 90.00 90.00
Fractional positions:
Pb1 0.000 0.000 0.500
K1 0.500 0.500 0.500
Rh1 0.000 0.000 0.000
In1 0.000 0.500 0.000
In2 0.500 0.000 0.000

Output
The volume is 149 Å³ per cell. The value obtained for the raw total energy is -18.2 eV per cell. The energy of formation is -0.58 eV per formula unit.

---

5.
This record from Alexandria via LeMat-Bulk describes a relaxed BeTe2N2 crystal. The functional is PBE.

a b c (Å): 4.564 4.564 3.743
angles (deg): 90.00 90.00 90.00
Fractional positions:
Be1 0.500 0.500 0.500
Te1 0.000 0.500 0.000
Te2 0.500 0.000 0.000
N1 0.000 0.000 0.000
N2 0.000 0.000 0.500

Output
For the formation energy from raw total energies, the calculation gives 1.658 eV/atom. The volume is 78 Å³ per cell. The value obtained for the raw total energy is -18.4 eV per cell. For the energy relative to the lowest polymorph listed for this composition, the calculation gives 408 meV/atom.

---

6.
This record from Alexandria via LeMat-Bulk describes a relaxed BaZnIn2Cu crystal. The functional is PBE.

a b c (Å): 5.219 5.219 4.942
angles (deg): 90.00 90.00 90.00
Fractional positions:
Zn1 0.000 0.000 0.500
Ba1 0.500 0.500 0.500
Cu1 0.000 0.000 0.000
In1 0.000 0.500 0.000
In2 0.500 0.000 0.000

Output
The volume is 135 Å³ per cell. The value obtained for the raw total energy is -13.3 eV per cell. The energy of formation is -0.52 eV per formula unit.

---

7.
This record from Alexandria via LeMat-Bulk describes a relaxed BaLaSc crystal. The functional is PBE.

a b c (Å): 8.283 8.283 3.831
angles (deg): 76.63 76.63 26.74
Fractional positions:
Ba1 0.008 0.008 0.992
La1 0.312 0.312 0.688
Sc1 0.680 0.680 0.320

Output
The volume is 115 Å³ per cell. The value obtained for the raw total energy is -12.5 eV per cell. The energy of formation is 0.66 eV per formula unit. For the energy relative to the lowest polymorph listed for this composition, the calculation gives 44 meV/atom.